Entry 1:
Density functional theory data (PBE with a Hubbard U) for NpCo2AgO8 after structural relaxation.

a = 4.757 Å, b = 4.626 Å, c = 6.121 Å
α = 87.08°, β = 92.65°, γ = 91.64°
Atoms (fractional coordinates):
O: 0.331 0.292 0.001
O: 0.636 0.714 0.495
Np: 0.000 0.000 0.000
Co: 0.509 0.492 0.258
O: 0.189 0.763 0.756
O: 0.669 0.708 0.999
O: 0.364 0.286 0.505
Ag: 0.000 0.000 0.500
O: 0.202 0.749 0.211
O: 0.811 0.237 0.244
Co: 0.491 0.508 0.742
O: 0.798 0.251 0.789

Computed properties:
SG = P-1 (2)
total energy = -6.617 eV/atom
density of states at the Fermi level = 0.411 states/eV/atom
calculated volume = 11.19 Å³/atom



Entry 2:
Density functional theory data (PBE with a Hubbard U) for NpCoAgO6 after structural relaxation.

a = 5.178 Å, b = 5.178 Å, c = 9.819 Å
α = 90.00°, β = 90.00°, γ = 120.00°
Atoms (fractional coordinates):
O: 0.645 0.629 0.142
Ag: 0.000 0.000 0.500
Co: 0.667 0.333 0.250
O: 0.984 0.355 0.142
Ag: 0.000 0.000 0.000
O: 0.984 0.629 0.358
O: 0.645 0.016 0.358
O: 0.355 0.371 0.858
Np: 0.667 0.333 0.750
O: 0.371 0.016 0.142
O: 0.016 0.645 0.858
Co: 0.333 0.667 0.750
O: 0.371 0.355 0.358
O: 0.629 0.984 0.858
O: 0.355 0.984 0.642
O: 0.629 0.645 0.642
O: 0.016 0.371 0.642
Np: 0.333 0.667 0.250

Computed properties:
SG = P-31c (163)
total energy = -7.083 eV/atom
density of states at the Fermi level = 0.642 states/eV/atom
calculated volume = 12.67 Å³/atom



- The highest calculated volume belongs to which entry?
  NpCoAgO6



- Which value of calculated volume does entry 2 give?
  12.67 Å³/atom



What did the second record say?
Density functional theory data (PBE with a Hubbard U) for NpCoAgO6 after structural relaxation.

a = 5.178 Å, b = 5.178 Å, c = 9.819 Å
α = 90.00°, β = 90.00°, γ = 120.00°
Atoms (fractional coordinates):
O: 0.645 0.629 0.142
Ag: 0.000 0.000 0.500
Co: 0.667 0.333 0.250
O: 0.984 0.355 0.142
Ag: 0.000 0.000 0.000
O: 0.984 0.629 0.358
O: 0.645 0.016 0.358
O: 0.355 0.371 0.858
Np: 0.667 0.333 0.750
O: 0.371 0.016 0.142
O: 0.016 0.645 0.858
Co: 0.333 0.667 0.750
O: 0.371 0.355 0.358
O: 0.629 0.984 0.858
O: 0.355 0.984 0.642
O: 0.629 0.645 0.642
O: 0.016 0.371 0.642
Np: 0.333 0.667 0.250

Computed properties:
SG = P-31c (163)
total energy = -7.083 eV/atom
density of states at the Fermi level = 0.642 states/eV/atom
calculated volume = 12.67 Å³/atom